[1]
Density functional theory data (PBE) for an optimized crystal structure of LiCe4N4.

Calculated values
The density of states at the Fermi level comes out at 7.70 states/eV/cell. The value obtained for the formation energy from raw total energies is -10.04 eV per formula unit.

Unit cell a=5.582 b=5.582 c=6.622 alpha=114.93 beta=114.93 gamma=90.00
Positions (direct):
N (0.664, 0.664, 0.757)
N (0.907, 0.336, 0.243)
Ce (0.730, 0.730, 0.461)
N (0.093, 0.093, 0.757)
N (0.336, 0.907, 0.243)
Li (0.000, 0.000, 0.000)
Ce (0.500, 0.000, 0.000)
Ce (0.000, 0.500, 0.000)
Ce (0.270, 0.270, 0.539)

[2]
Density functional theory data (PBE) for an optimized crystal structure of HfGa2BiO8.

Calculated values
The density of states at the Fermi level comes out at 9.45 states/eV/cell. The value obtained for the formation energy from raw total energies is -20.37 eV per formula unit.

Unit cell a=5.821 b=5.821 c=5.821 alpha=109.06 beta=109.06 gamma=110.29
Positions (direct):
O (0.723, 0.042, 0.680)
O (0.362, 0.042, 0.320)
Ga (0.500, 0.500, 0.000)
O (0.303, 0.111, 0.808)
O (0.958, 0.277, 0.320)
Hf (0.250, 0.750, 0.500)
O (0.303, 0.496, 0.192)
O (0.958, 0.638, 0.680)
Ga (0.750, 0.250, 0.500)
O (0.504, 0.697, 0.808)
O (0.889, 0.697, 0.192)
Bi (0.000, 0.000, 0.000)

[3]
Density functional theory data (PBE) for an optimized crystal structure of MoHRu2W.

Calculated values
The excess energy over the best structure of this formula in the dataset comes out at 0.67 kcal/mol of atoms. The density of states at the Fermi level comes out at 3.70 states/eV/cell.

Unit cell a=3.939 b=3.939 c=3.981 alpha=90.00 beta=90.00 gamma=90.00
Positions (direct):
Ru (0.000, 0.500, 0.000)
Mo (0.500, 0.500, 0.500)
H (0.000, 0.000, 0.000)
W (0.000, 0.000, 0.500)
Ru (0.500, 0.000, 0.000)

[4]
Density functional theory data (PBE) for an optimized crystal structure of SrPu2HgO8.

Calculated values
The density of states at the Fermi level comes out at 9.76 states/eV/cell. The value obtained for the formation energy from raw total energies is -24.62 eV per formula unit.

Unit cell a=5.544 b=5.544 c=6.544 alpha=115.06 beta=115.06 gamma=90.00
Positions (direct):
O (0.398, 0.861, 0.273)
O (0.584, 0.126, 0.768)
O (0.184, 0.642, 0.768)
O (0.875, 0.412, 0.273)
O (0.358, 0.416, 0.232)
O (0.588, 0.602, 0.727)
Sr (0.000, 0.000, 0.000)
Pu (0.250, 0.750, 0.500)
Pu (0.500, 0.500, 0.000)
Hg (0.750, 0.250, 0.500)
O (0.139, 0.125, 0.727)
O (0.874, 0.816, 0.232)

[5]
Density functional theory data (PBE) for an optimized crystal structure of Hf2ScO.

Calculated values
The excess energy over the best structure of this formula in the dataset comes out at 2.75 kcal/mol of atoms. The density of states at the Fermi level comes out at 3.75 states/eV/cell. The value obtained for the formation energy from raw total energies is -3.41 eV per formula unit.

Unit cell a=3.203 b=3.203 c=8.571 alpha=79.23 beta=79.23 gamma=60.00
Positions (direct):
Sc (0.000, 0.000, 0.000)
O (0.500, 0.500, 0.500)
Hf (0.884, 0.884, 0.347)
Hf (0.116, 0.116, 0.653)

[6]
Density functional theory data (PBE) for an optimized crystal structure of TiIr3I.

Calculated values
The excess energy over the best structure of this formula in the dataset comes out at 11.38 kcal/mol of atoms. The density of states at the Fermi level comes out at 13.61 states/eV/cell. The value obtained for the formation energy from raw total energies is 9.21 eV per formula unit.

Unit cell a=4.818 b=4.818 c=4.818 alpha=90.00 beta=90.00 gamma=90.00
Positions (direct):
Ti (0.500, 0.500, 0.500)
Ir (0.000, 0.000, 0.500)
I (0.000, 0.000, 0.000)
Ir (0.500, 0.000, 0.000)
Ir (0.000, 0.500, 0.000)